No. 1
Density functional theory data (GGA-PBE) for a geometry-optimized Li8CaAg6 structure.

Lattice parameters (Å, degrees): 8.353 8.353 6.981 53.25 53.25 60.00
Element x y z (fractional)
Li  0.416  0.224  0.413
Li  0.776  0.053  0.587
Li  0.053  0.584  0.587
Li  0.614  0.614  0.157
Li  0.386  0.386  0.843
Li  0.947  0.416  0.413
Li  0.224  0.947  0.413
Li  0.584  0.776  0.587
Ca  0.000  0.000  0.000
Ag  0.394  0.989  0.911
Ag  0.011  0.294  0.089
Ag  0.294  0.606  0.089
Ag  0.706  0.394  0.911
Ag  0.989  0.706  0.911
Ag  0.606  0.011  0.089

## Properties
The formation enthalpy at 0 K comes out at -171.0 kJ/mol of formula units. The density of states at the Fermi level is 5.3 states/eV per cell. Its energy is -2.41 eV per atom. As for the total moment: 0.00 Bohr magnetons per cell.

=====

No. 2
Density functional theory data (GGA-PBE) for a geometry-optimized Li2CaAg structure.

Lattice parameters (Å, degrees): 6.126 6.126 3.546 74.25 74.25 121.02
Element x y z (fractional)
Ag  0.500  0.000  0.500
Ca  0.000  0.500  0.500
Li  0.000  0.000  0.000
Li  0.500  0.500  0.000

## Properties
The formation enthalpy at 0 K comes out at -1.0 kJ/mol of formula units. For the energy above the most stable polymorph in this dataset, the calculation gives 169.7 meV/atom. The density of states at the Fermi level is 2.2 states/eV per cell. Its energy is -2.17 eV per atom. As for the total moment: 0.00 Bohr magnetons per cell.

=====

No. 3
Density functional theory data (GGA-PBE) for a geometry-optimized LiCa8Ag2 structure.

Lattice parameters (Å, degrees): 6.007 8.479 8.479 111.89 98.47 98.47
Element x y z (fractional)
Li  0.000  0.002  0.002
Ca  0.590  0.332  0.073
Ca  0.590  0.073  0.332
Ca  0.193  0.384  0.384
Ca  0.000  0.245  0.761
Ca  0.000  0.761  0.245
Ca  0.807  0.621  0.621
Ca  0.410  0.933  0.675
Ca  0.410  0.675  0.933
Ag  0.500  0.689  0.317
Ag  0.500  0.317  0.689

## Properties
The formation enthalpy at 0 K comes out at -101.5 kJ/mol of formula units. The density of states at the Fermi level is 8.2 states/eV per cell. Its energy is -2.24 eV per atom. As for the total moment: 0.00 Bohr magnetons per cell.